Here is a relaxed structure of Pm5Dy2Sb5 from Alexandria. Energies are from PBE.

Unit cell a=7.6021 b=7.6021 c=12.7985 alpha=109.15 beta=109.15 gamma=33.87
Closest atoms and distances in Å follow each position.
Sites, in units of the cell vectors:
Pm  0.0000  0.0000  0.0000  4 Sb 3.13
Pm  0.1604  0.1604  0.5382  5 Sb 3.13-3.36
Pm  0.2262  0.2262  0.8459  5 Sb 3.02-3.29
Pm  0.7738  0.7738  0.1541  5 Sb 3.02-3.29
Pm  0.8396  0.8396  0.4618  5 Sb 3.13-3.36
Dy  0.4549  0.4549  0.7116  4 Sb 2.94-3.05
Dy  0.5451  0.5451  0.2884  4 Sb 2.94-3.05
Sb  0.1899  0.1899  0.2892  2 Dy 3.05, 5 Pm 3.29-3.36
Sb  0.3830  0.3830  0.0736  1 Dy 2.94, 5 Pm 3.02-3.13
Sb  0.5000  0.5000  0.5000  2 Dy 3.00, 4 Pm 3.13
Sb  0.6170  0.6170  0.9264  1 Dy 2.94, 5 Pm 3.02-3.13
Sb  0.8101  0.8101  0.7108  2 Dy 3.05, 5 Pm 3.29-3.36

Output
Space-group type: C2/m
Energy, eV/f.u.: -64.43
Formation energy from raw total energies, eV per atom: -0.905
Magnetic moment, μB per cell: 0.00

---

Here is a relaxed structure of PmDySb2 from Alexandria. Energies are from PBE.

Unit cell a=7.6824 b=7.6824 c=7.6824 alpha=33.60 beta=33.60 gamma=33.60
Closest atoms and distances in Å follow each position.
Sites, in units of the cell vectors:
Pm  0.0000  0.0000  0.0000  6 Sb 3.17
Dy  0.5000  0.5000  0.5000  6 Sb 3.11
Sb  0.2476  0.2476  0.2476  3 Dy 3.11, 3 Pm 3.17
Sb  0.7524  0.7524  0.7524  3 Dy 3.11, 3 Pm 3.17

Output
Space-group type: R-3m
Energy, eV/f.u.: -22.23
Polymorph energy (0 for the lowest one), eV/atom: 0.000
Formation energy from raw total energies, eV per atom: -1.158
Magnetic moment, μB per cell: 0.00

---

Here is a relaxed structure of PmDySb2 from Alexandria. Energies are from PBE.

Unit cell a=7.9447 b=7.9447 c=7.9447 alpha=32.21 beta=32.21 gamma=32.21
Closest atoms and distances in Å follow each position.
Sites, in units of the cell vectors:
Pm  0.0000  0.0000  0.0000  6 Sb 3.15-3.21
Dy  0.1710  0.1710  0.1710  6 Sb 3.13-3.18
Sb  0.4199  0.4199  0.4199  3 Dy 3.18, 3 Pm 3.21
Sb  0.5848  0.5848  0.5848  3 Dy 3.13, 3 Pm 3.15

Output
Space-group type: R3m
Energy, eV/f.u.: -21.74
Polymorph energy (0 for the lowest one), eV/atom: 0.123
Formation energy from raw total energies, eV per atom: -1.035
Magnetic moment, μB per cell: 0.00

---

Q: Which of these has the highest energy?
A: number 3

---

Q: Which formula does entry 2 have?
A: PmDySb2

---

Q: Number 3 is which compound?
A: PmDySb2

---

Q: Which of these has the lowest formation energy from raw total energies?
A: number 2